Material: SbRhPb2
Method: DFT, PBE
State: optimized geometry Values from VASP.

Formation energy from raw total energies (eV/atom): 0.320
Space-group type: I-42d (122)
D(E_F) (states/eV/f.u.): 3.8
Magnetization (μB per cell): 0.0

```
&SYSTEM
  ibrav = 0, nat = 16, ntyp = 3
/
ATOMIC_SPECIES
Sb 121.76 Sb.upf
Rh 102.91 Rh.upf
Pb 207.20 Pb.upf
CELL_PARAMETERS angstrom
6.442 0.000 0.000
0.000 6.442 0.000
0.000 0.000 13.277
ATOMIC_POSITIONS angstrom
Sb 0.000 0.000 0.000
Sb 0.000 3.221 3.319
Sb 3.221 0.000 9.958
Sb 3.221 3.221 6.638
Rh 0.000 0.000 6.638
Rh 0.000 3.221 9.958
Rh 3.221 0.000 3.319
Rh 3.221 3.221 0.000
Pb 1.285 1.611 8.298
Pb 1.611 4.506 11.617
Pb 1.611 5.157 4.979
Pb 1.936 1.611 1.660
Pb 4.506 4.832 1.660
Pb 4.832 1.285 4.979
Pb 4.832 1.936 11.617
Pb 5.157 4.832 8.298
```